No. 1
Computed, not measured: a relaxed structure of Dy2MnAs3Rh4 at the PBE-GGA level of DFT.

Results
Final energy: -6.988 eV per atom
Energy of formation: -0.82 eV per atom

a = 4.0774 Å, b = 4.0774 Å, c = 10.6176 Å
α = 90.00°, β = 90.00°, γ = 90.00°
Last column: nearest neighbours and their distance in Å.
Element x y z (fractional)
Dy 0.5000 0.0000 0.2472  6 As 3.11-3.37, 8 Rh 3.13-3.32, 2 Mn 3.37
Dy 0.0000 0.5000 0.7528  6 As 3.11-3.37, 8 Rh 3.13-3.32, 2 Mn 3.37
Mn 0.5000 0.5000 0.5000  4 Rh 2.51
As 0.0000 0.0000 0.5000  4 Rh 2.51
As 0.5000 0.0000 0.8625  5 Rh 2.38-2.51
As 0.0000 0.5000 0.1375  5 Rh 2.38-2.51
Rh 0.5000 0.5000 0.0000  4 As 2.51
Rh 0.0000 0.0000 0.0000  4 As 2.51
Rh 0.5000 0.0000 0.6384  3 As 2.38-2.51, 2 Mn 2.51
Rh 0.0000 0.5000 0.3616  3 As 2.38-2.51, 2 Mn 2.51

No. 2
Computed, not measured: a relaxed structure of DyMoAs at the PBE-GGA level of DFT.

Results
Final energy: -7.004 eV per atom
Energy of formation: -0.31 eV per atom

a = 6.0760 Å, b = 6.2633 Å, c = 6.9628 Å
α = 74.75°, β = 90.00°, γ = 90.00°
Last column: nearest neighbours and their distance in Å.
Element x y z (fractional)
As 0.5555 0.1487 0.7090  4 Mo 2.54-2.58
As 0.0555 0.8513 0.7910  4 Mo 2.54-2.58
As 0.4445 0.8513 0.2910  4 Mo 2.54-2.58
As 0.9445 0.1487 0.2090  4 Mo 2.54-2.58
Mo 0.7585 0.9124 0.5204  4 As 2.54-2.58
Mo 0.7415 0.9124 0.0204  4 As 2.54-2.58
Mo 0.2415 0.0876 0.4796  4 As 2.54-2.58
Mo 0.2585 0.0876 0.9796  4 As 2.54-2.58
Dy 0.2381 0.5265 0.1265  3 As 2.87-2.90, 2 Mo 3.17-3.18
Dy 0.2619 0.5265 0.6265  3 As 2.87-2.90, 2 Mo 3.17-3.18
Dy 0.7619 0.4735 0.8735  3 As 2.87-2.90, 2 Mo 3.17-3.18
Dy 0.7381 0.4735 0.3735  3 As 2.87-2.90, 2 Mo 3.17-3.18